## Tc2NiAg (GGA-PBE)

Data for crystalline Tc2NiAg at its relaxed geometry.

Cell: 4.723 4.723 4.913 Å, 81.88 81.88 32.28°
Atoms (fractional coordinates):
Ag: 0.506 0.506 0.481
Ni: 0.258 0.258 0.250
Tc: 0.986 0.986 0.992
Tc: 0.750 0.750 0.777

- Total DFT energy (no corrections): -28.0 eV/f.u.
- SG: Cm, No. 8
- N(E_F): 4.141 states/eV per cell
- Total moment: 0.00 μB/f.u.

## SrCaInAg2 (GGA-PBE)

Data for crystalline SrCaInAg2 at its relaxed geometry.

Cell: 5.626 6.040 5.626 Å, 90.00 90.00 90.00°
Atoms (fractional coordinates):
Sr: 0.000 0.000 0.000
Ca: 0.500 0.500 0.500
Ag: 0.000 0.000 0.500
Ag: 0.500 0.000 0.000
In: 0.000 0.500 0.000

- Total DFT energy (no corrections): -9.6 eV/f.u.
- SG: P4/mmm, No. 123
- N(E_F): 3.696 states/eV per cell
- Total moment: 0.00 μB/f.u.

## ZnCo2Ni (GGA-PBE)

Data for crystalline ZnCo2Ni at its relaxed geometry.

Cell: 2.950 3.888 4.048 Å, 90.00 90.00 90.00°
Each line ends with the local moment (μB).
Atoms (fractional coordinates):
Co: 0.000 0.000 0.000  1.78
Co: 0.500 0.500 0.000  1.53
Ni: 0.500 0.000 0.500  0.32
Zn: 0.000 0.500 0.500  -0.05

- Total DFT energy (no corrections): -21.1 eV/f.u.
- SG: Pmmm, No. 47
- N(E_F): 4.526 states/eV per cell
- Total moment: 3.50 μB/f.u.

## U2MnS5 (GGA-PBE)

Data for crystalline U2MnS5 at its relaxed geometry.

Cell: 7.482 7.412 11.191 Å, 90.00 90.00 90.00°
Each line ends with the local moment (μB).
Atoms (fractional coordinates):
U: 0.478 0.500 0.820  2.25
U: 0.522 0.500 0.180  2.25
U: 0.978 0.500 0.680  2.25
U: 0.522 0.000 0.180  2.25
U: 0.022 0.500 0.320  2.25
U: 0.478 0.000 0.820  2.25
U: 0.022 0.000 0.320  2.25
U: 0.978 0.000 0.680  2.25
Mn: 0.500 0.250 0.500  3.88
Mn: 0.500 0.750 0.500  3.88
Mn: 0.000 0.750 0.000  3.88
Mn: 0.000 0.250 0.000  3.88
S: 0.000 0.250 0.500  -0.10
S: 0.000 0.750 0.500  -0.10
S: 0.500 0.750 0.000  -0.10
S: 0.500 0.250 0.000  -0.10
S: 0.337 0.000 0.591  -0.05
S: 0.663 0.000 0.409  -0.05
S: 0.837 0.000 0.909  -0.05
S: 0.663 0.500 0.409  -0.05
S: 0.163 0.000 0.091  -0.05
S: 0.337 0.500 0.591  -0.05
S: 0.163 0.500 0.091  -0.05
S: 0.837 0.500 0.909  -0.05
S: 0.184 0.250 0.806  -0.07
S: 0.816 0.750 0.194  -0.07
S: 0.684 0.750 0.694  -0.07
S: 0.316 0.250 0.306  -0.07
S: 0.684 0.250 0.694  -0.07
S: 0.316 0.750 0.306  -0.07
S: 0.184 0.750 0.806  -0.07
S: 0.816 0.250 0.194  -0.07

- SG: Pbam, No. 55
- Formation energy (no corrections): -1.17 eV per atom
- N(E_F): 45.108 states/eV per cell
- Total moment: 8.73 μB/f.u.

## Ba2MgMn (GGA-PBE)

Data for crystalline Ba2MgMn at its relaxed geometry.

Cell: 4.193 4.233 9.527 Å, 63.64 90.00 90.00°
Each line ends with the local moment (μB).
Atoms (fractional coordinates):
Ba: 0.000 0.017 0.983  -0.08
Ba: 0.000 0.483 0.517  -0.08
Mg: 0.500 0.250 0.250  0.00
Mn: 0.500 0.750 0.750  4.03

- Total DFT energy (no corrections): -13.3 eV/f.u.
- SG: Pmmm, No. 47
- N(E_F): 4.726 states/eV per cell
- Total moment: 3.75 μB/f.u.

## Ba3U2S8 (GGA-PBE)

Data for crystalline Ba3U2S8 at its relaxed geometry.

Cell: 7.209 7.209 10.065 Å, 69.01 69.01 60.00°
Each line ends with the local moment (μB).
Atoms (fractional coordinates):
Ba: 0.000 0.000 0.000  0.00
Ba: 0.802 0.802 0.594  0.00
Ba: 0.198 0.198 0.406  0.00
U: 0.600 0.600 0.199  1.15
U: 0.400 0.400 0.801  1.15
S: 0.691 0.691 0.927  -0.04
S: 0.309 0.309 0.073  -0.04
S: 0.204 0.742 0.312  -0.04
S: 0.742 0.204 0.312  -0.04
S: 0.742 0.742 0.312  -0.04
S: 0.258 0.796 0.688  -0.04
S: 0.796 0.258 0.688  -0.04
S: 0.258 0.258 0.688  -0.04

- SG: R-3m, No. 166
- Formation energy (no corrections): -1.37 eV per atom
- N(E_F): 13.351 states/eV per cell
- Total moment: 2.00 μB/f.u.

## BePdW3 (GGA-PBE)

Data for crystalline BePdW3 at its relaxed geometry.

Cell: 4.708 4.708 4.708 Å, 90.00 90.00 90.00°
Atoms (fractional coordinates):
Be: 0.500 0.500 0.500
Pd: 0.000 0.000 0.000
W: 0.000 0.500 0.000
W: 0.000 0.000 0.500
W: 0.500 0.000 0.000

- Total DFT energy (no corrections): -34.8 eV/f.u.
- SG: Pm-3m, No. 221
- N(E_F): 7.045 states/eV per cell
- Total moment: 0.00 μB/f.u.

## NiC2S2 (GGA-PBE)

Data for crystalline NiC2S2 at its relaxed geometry.

Cell: 6.566 6.566 2.769 Å, 90.00 90.00 90.00°
Atoms (fractional coordinates):
Ni: 0.000 0.000 0.000
Ni: 0.500 0.500 0.000
S: 0.163 0.663 0.500
S: 0.663 0.837 0.500
S: 0.837 0.337 0.500
S: 0.337 0.163 0.500
C: 0.274 0.774 0.000
C: 0.774 0.726 0.000
C: 0.726 0.226 0.000
C: 0.226 0.274 0.000

- SG: P4/mbm, No. 127
- Formation energy (no corrections): 1.25 eV per atom
- N(E_F): 4.865 states/eV per cell
- Total moment: 0.00 μB/f.u.

## Ag3SnAu3 (GGA-PBE)

Data for crystalline Ag3SnAu3 at its relaxed geometry.

Cell: 7.441 7.441 7.441 Å, 90.00 90.00 90.00°
Atoms (fractional coordinates):
Au: 0.250 0.000 0.500
Au: 0.000 0.500 0.250
Au: 0.500 0.750 0.000
Au: 0.750 0.000 0.500
Au: 0.000 0.500 0.750
Au: 0.500 0.250 0.000
Sn: 0.500 0.500 0.500
Sn: 0.000 0.000 0.000
Ag: 0.000 0.250 0.500
Ag: 0.000 0.750 0.500
Ag: 0.500 0.000 0.750
Ag: 0.750 0.500 0.000
Ag: 0.500 0.000 0.250
Ag: 0.250 0.500 0.000

- Total DFT energy (no corrections): -17.7 eV/f.u.
- SG: Pm-3n, No. 223
- N(E_F): 8.511 states/eV per cell
- Total moment: 0.00 μB/f.u.

## AlTlGaC2 (GGA-PBE)

Data for crystalline AlTlGaC2 at its relaxed geometry.

Cell: 4.359 5.706 4.359 Å, 90.00 90.00 90.00°
Each line ends with the local moment (μB).
Atoms (fractional coordinates):
C: 0.000 0.000 0.500  0.21
C: 0.500 0.000 0.000  0.26
Tl: 0.000 0.000 0.000  0.00
Al: 0.500 0.500 0.500  0.00
Ga: 0.000 0.500 0.000  -0.04

- Total DFT energy (no corrections): -15.0 eV/f.u.
- SG: P4/mmm, No. 123
- N(E_F): 2.612 states/eV per cell
- Total moment: 0.79 μB/f.u.

## Tb6Pm8Cd (GGA-PBE)

Data for crystalline Tb6Pm8Cd at its relaxed geometry.

Cell: 6.435 9.440 9.440 Å, 120.00 90.00 90.00°
Atoms (fractional coordinates):
Tb: 0.675 0.644 0.096
Tb: 0.675 0.904 0.548
Tb: 0.675 0.452 0.356
Tb: 0.325 0.356 0.904
Tb: 0.325 0.096 0.452
Tb: 0.325 0.548 0.644
Pm: 0.815 0.041 0.269
Pm: 0.815 0.731 0.772
Pm: 0.815 0.228 0.959
Pm: 0.185 0.959 0.731
Pm: 0.185 0.269 0.228
Pm: 0.185 0.772 0.041
Pm: 0.839 0.333 0.667
Pm: 0.161 0.667 0.333
Cd: 0.500 0.000 0.000

- Total DFT energy (no corrections): -65.3 eV/f.u.
- SG: P-3, No. 147
- N(E_F): 20.369 states/eV per cell
- Total moment: 0.00 μB/f.u.

## PPt3 (GGA-PBE)

Data for crystalline PPt3 at its relaxed geometry.

Cell: 4.434 4.434 4.434 Å, 60.00 60.00 60.00°
Atoms (fractional coordinates):
P: 0.000 0.000 0.000
Pt: 0.250 0.250 0.250
Pt: 0.500 0.500 0.500
Pt: 0.750 0.750 0.750

- Total DFT energy (no corrections): -23.1 eV/f.u.
- SG: Fm-3m, No. 225
- N(E_F): 1.651 states/eV per cell
- Total moment: 0.00 μB/f.u.

## Fe3SiPt (GGA-PBE)

Data for crystalline Fe3SiPt at its relaxed geometry.

Cell: 4.099 4.099 4.099 Å, 90.00 90.00 90.00°
Atoms (fractional coordinates):
Si: 0.000 0.000 0.000
Fe: 0.000 0.500 0.000
Fe: 0.000 0.000 0.500
Fe: 0.500 0.000 0.000
Pt: 0.500 0.500 0.500

- SG: Pm-3m, No. 221
- Formation energy (no corrections): 0.90 eV per atom
- N(E_F): 9.863 states/eV per cell
- Total moment: 0.00 μB/f.u.

## Ca3TlP (GGA-PBE)

Data for crystalline Ca3TlP at its relaxed geometry.

Cell: 6.806 8.803 6.795 Å, 90.00 131.45 90.00°
Atoms (fractional coordinates):
P: 0.055 0.250 0.969
P: 0.945 0.750 0.031
Tl: 0.282 0.250 0.690
Tl: 0.718 0.750 0.310
Ca: 0.853 0.453 0.135
Ca: 0.147 0.547 0.865
Ca: 0.853 0.047 0.135
Ca: 0.147 0.953 0.865
Ca: 0.582 0.250 0.441
Ca: 0.418 0.750 0.559

- Total DFT energy (no corrections): -17.1 eV/f.u.
- SG: P2_1/m, No. 11
- N(E_F): 1.832 states/eV per cell
- Total moment: 0.00 μB/f.u.

## ThPd2Pt2 (GGA-PBE)

Data for crystalline ThPd2Pt2 at its relaxed geometry.

Cell: 5.057 5.057 5.424 Å, 117.79 117.79 90.00°
Atoms (fractional coordinates):
Th: 0.000 0.000 0.000
Pd: 0.658 0.658 0.315
Pd: 0.342 0.342 0.685
Pt: 0.250 0.750 0.500
Pt: 0.750 0.250 0.500

- Total DFT energy (no corrections): -31.8 eV/f.u.
- SG: I4/mmm, No. 139
- N(E_F): 5.876 states/eV per cell
- Total moment: 0.00 μB/f.u.

## ZrC (GGA-PBE)

Data for crystalline ZrC at its relaxed geometry.

Cell: 4.237 4.237 4.237 Å, 60.00 60.00 60.00°
Atoms (fractional coordinates):
C: 0.000 0.000 0.000
C: 0.250 0.250 0.250
Zr: 0.500 0.500 0.500
Zr: 0.750 0.750 0.750

- Total DFT energy (no corrections): -13.9 eV/f.u.
- SG: Fd-3m, No. 227
- N(E_F): 2.475 states/eV per cell
- Total moment: 0.00 μB/f.u.

## SiSbOs2 (GGA-PBE)

Data for crystalline SiSbOs2 at its relaxed geometry.

Cell: 4.396 4.396 3.190 Å, 90.00 90.00 90.00°
Atoms (fractional coordinates):
Os: 0.000 0.000 0.000
Os: 0.500 0.500 0.000
Sb: 0.500 0.000 0.500
Si: 0.000 0.500 0.500

- SG: P4/mmm, No. 123
- Formation energy (no corrections): 0.36 eV per atom
- N(E_F): 1.666 states/eV per cell
- Total moment: 0.00 μB/f.u.

## CaAc4Nd (GGA-PBE)

Data for crystalline CaAc4Nd at its relaxed geometry.

Cell: 6.869 7.458 10.137 Å, 96.51 90.00 90.00°
Atoms (fractional coordinates):
Ca: 0.923 0.250 0.500
Ca: 0.077 0.750 0.500
Ac: 0.092 0.417 0.163
Ac: 0.421 0.076 0.328
Ac: 0.092 0.083 0.837
Ac: 0.579 0.924 0.672
Ac: 0.421 0.424 0.672
Ac: 0.908 0.917 0.163
Ac: 0.579 0.576 0.328
Ac: 0.908 0.583 0.837
Nd: 0.578 0.250 0.000
Nd: 0.422 0.750 0.000

- Total DFT energy (no corrections): -23.0 eV/f.u.
- SG: P2/c, No. 13
- N(E_F): 19.835 states/eV per cell
- Total moment: 0.00 μB/f.u.

## CePm2Th3Se6 (GGA-PBE)

Data for crystalline CePm2Th3Se6 at its relaxed geometry.

Cell: 4.188 8.415 9.439 Å, 104.26 102.82 90.00°
Each line ends with the local moment (μB).
Atoms (fractional coordinates):
Ce: 0.500 0.000 0.000  0.58
Pm: 0.834 0.668 0.669  0.00
Pm: 0.166 0.332 0.331  0.00
Th: 0.500 0.500 0.000  0.00
Th: 0.833 0.164 0.666  0.00
Th: 0.167 0.836 0.334  0.00
Se: 0.334 0.913 0.668  0.00
Se: 0.668 0.582 0.336  0.00
Se: 0.666 0.087 0.332  0.00
Se: 0.001 0.248 0.001  -0.01
Se: 0.999 0.752 0.999  -0.01
Se: 0.332 0.418 0.664  0.00

- SG: C2/m, No. 12
- Formation energy (no corrections): -1.68 eV per atom
- N(E_F): 12.204 states/eV per cell
- Total moment: 0.69 μB/f.u.

## HfBe8Ir3 (GGA-PBE)

Data for crystalline HfBe8Ir3 at its relaxed geometry.

Cell: 4.441 4.441 7.329 Å, 90.00 90.00 120.00°
Atoms (fractional coordinates):
Hf: 0.000 0.000 0.561
Be: 0.333 0.667 0.490
Be: 0.333 0.667 0.004
Be: 0.503 0.006 0.767
Be: 0.503 0.497 0.767
Be: 0.994 0.497 0.767
Be: 0.166 0.332 0.237
Be: 0.166 0.834 0.237
Be: 0.668 0.834 0.237
Ir: 0.667 0.333 0.446
Ir: 0.667 0.333 0.066
Ir: 0.000 0.000 0.920

- Total DFT energy (no corrections): -72.4 eV/f.u.
- SG: P3m1, No. 156
- N(E_F): 4.059 states/eV per cell
- Total moment: 0.00 μB/f.u.

## K2AlAs (GGA-PBE)

Data for crystalline K2AlAs at its relaxed geometry.

Cell: 5.314 3.110 7.453 Å, 65.50 90.00 90.00°
Atoms (fractional coordinates):
As: 0.500 0.750 0.750
K: 0.000 0.018 0.980
K: 0.000 0.482 0.520
Al: 0.500 0.250 0.250

- Total DFT energy (no corrections): -10.0 eV/f.u.
- SG: P2/m, No. 10
- N(E_F): 2.091 states/eV per cell
- Total moment: 0.00 μB/f.u.

## Hf6CoIr3 (GGA-PBE)

Data for crystalline Hf6CoIr3 at its relaxed geometry.

Cell: 6.583 6.737 9.025 Å, 90.00 91.48 90.00°
Atoms (fractional coordinates):
Hf: 0.660 0.154 0.930
Hf: 0.654 0.176 0.563
Hf: 0.693 0.455 0.258
Hf: 0.307 0.545 0.742
Hf: 0.346 0.824 0.437
Hf: 0.340 0.846 0.070
Hf: 0.160 0.346 0.430
Hf: 0.154 0.324 0.063
Hf: 0.193 0.045 0.758
Hf: 0.807 0.955 0.242
Hf: 0.846 0.676 0.937
Hf: 0.840 0.654 0.570
Co: 0.500 0.500 0.500
Co: 0.000 0.000 0.000
Ir: 0.549 0.862 0.725
Ir: 0.500 0.500 0.000
Ir: 0.451 0.138 0.275
Ir: 0.049 0.638 0.225
Ir: 0.000 0.000 0.500
Ir: 0.951 0.362 0.775

- Total DFT energy (no corrections): -98.4 eV/f.u.
- SG: P2_1/c, No. 14
- N(E_F): 17.545 states/eV per cell
- Total moment: 0.00 μB/f.u.

## Ca4Cd (GGA-PBE)

Data for crystalline Ca4Cd at its relaxed geometry.

Cell: 5.993 5.993 5.993 Å, 90.00 90.00 90.00°
Atoms (fractional coordinates):
Ca: 0.000 0.000 0.000
Ca: 0.500 0.000 0.500
Ca: 0.000 0.500 0.500
Ca: 0.500 0.500 0.000
Cd: 0.500 0.500 0.500

- Total DFT energy (no corrections): -8.7 eV/f.u.
- SG: Pm-3m, No. 221
- N(E_F): 7.801 states/eV per cell
- Total moment: 0.00 μB/f.u.